First-principles (GGA-PBE) data for Na5Cd2Hg after structural relaxation, as listed in Alexandria via LeMat-Bulk.

Lattice parameters (Å, degrees): 8.0320 8.0320 14.7287 90.00 90.00 90.00
Last column: nearest neighbours and their distance in Å.
Space group I4/mcm (No. 140)
Inequivalent atoms, fractional coordinates:
Na (0.0000, 0.0000, 0.0000) x4  4 Cd 3.15
Na (0.1655, 0.3345, 0.1539) x16  3 Cd 3.25-3.29, 2 Hg 3.31, 1 Na 3.42
Cd (0.1290, 0.3710, 0.5000) x8  1 Cd 2.93, 4 Na 3.15-3.25
Hg (0.0000, 0.0000, 0.2500) x4  10 Na 3.31-3.68

Results
* ρ: 3777 kg/m³
* DFT total energy: -37.9 eV per cell
* distance to the lowest polymorph of the same formula: 0.05 eV per formula unit